[1]
Computed, not measured: a relaxed Ni2PIrW crystal at the GGA-PBE level of DFT.

The total energy is -6.312 eV per atom. The space group is No. 123. The calculation puts the density of states at the Fermi level at 7.69 states/eV per cell. The formation energy is 1.45 eV per atom. For the theoretical density, the calculation gives 9.74 g cm⁻³.

POSCAR file:
```
Ni2PIrW
1.0
4.566 0.000 0.000
0.000 4.286 0.000
0.000 0.000 4.566
P Ir Ni W
1 1 2 1
Cartesian
0.000 2.143 0.000
0.000 0.000 0.000
2.283 0.000 0.000
0.000 0.000 2.283
2.283 2.143 2.283
```

=====

[2]
Computed, not measured: a relaxed Y2NiP3Ir4 crystal at the GGA-PBE level of DFT.

The total energy is -7.936 eV per atom. The space group is No. 115. The calculation puts the density of states at the Fermi level at 5.21 states/eV per cell. The formation energy is -0.90 eV per atom. For the theoretical density, the calculation gives 11.24 g cm⁻³.

POSCAR file:
```
Y2NiP3Ir4
1.0
4.068 0.000 0.000
0.000 4.068 0.000
0.000 0.000 9.799
Ir Y P Ni
4 2 3 1
Cartesian
0.000 2.034 3.624
2.034 0.000 6.175
2.034 2.034 0.000
0.000 0.000 0.000
0.000 2.034 7.274
2.034 0.000 2.524
2.034 0.000 8.438
0.000 2.034 1.361
0.000 0.000 4.899
2.034 2.034 4.899
```

=====

[3]
Computed, not measured: a relaxed Y2Ni3P4Ir crystal at the GGA-PBE level of DFT.

The total energy is -7.040 eV per atom. The space group is No. 115. The calculation puts the density of states at the Fermi level at 3.29 states/eV per cell. The formation energy is -0.96 eV per atom. For the theoretical density, the calculation gives 7.46 g cm⁻³.

POSCAR file:
```
Y2Ni3P4Ir
1.0
4.020 0.000 0.000
0.000 4.020 0.000
0.000 0.000 9.229
P Ni Y Ir
4 3 2 1
Cartesian
2.010 2.010 0.000
0.000 0.000 0.000
2.010 0.000 5.894
0.000 2.010 3.335
0.000 2.010 1.072
2.010 0.000 8.157
0.000 0.000 4.614
0.000 2.010 7.012
2.010 0.000 2.217
2.010 2.010 4.614
```

=====

[4]
Computed, not measured: a relaxed Y2Ni12P3Ir crystal at the GGA-PBE level of DFT.

The total energy is -5.934 eV per atom. The space group is No. 166. The calculation puts the density of states at the Fermi level at 11.04 states/eV per cell. The formation energy is 0.03 eV per atom. For the theoretical density, the calculation gives 6.89 g cm⁻³.

POSCAR file:
```
Y2Ni12P3Ir
1.0
7.141 -0.231 -0.164
3.326 6.324 -0.164
3.326 1.936 6.022
Ni Ir P Y
12 1 3 2
Cartesian
3.402 4.113 0.657
10.391 6.048 2.030
7.202 1.761 3.825
5.256 0.927 0.657
3.402 1.980 3.664
10.391 3.915 5.037
5.088 5.393 3.825
8.536 7.102 5.037
6.591 3.836 5.297
6.591 6.267 1.869
7.202 4.192 0.397
8.705 2.636 1.869
0.000 0.000 0.000
1.663 0.968 3.011
3.571 -0.116 -0.082
1.663 3.162 -0.082
5.417 3.153 2.236
8.376 4.875 3.458
```

=====

[5]
Computed, not measured: a relaxed Pa2Ni9Ir crystal at the GGA-PBE level of DFT.

The total energy is -6.864 eV per atom. The space group is No. 166. The calculation puts the density of states at the Fermi level at 13.40 states/eV per cell. The formation energy is -0.21 eV per atom. For the theoretical density, the calculation gives 11.91 g cm⁻³. As for the energy above the most stable polymorph in this dataset: 0.000 eV per atom.

POSCAR file:
```
Pa2Ni9Ir
1.0
-3.935 -2.289 1.856
0.045 -1.583 4.654
-4.200 5.633 4.554
Ni Pa Ir
9 2 1
Cartesian
-3.440 3.118 6.288
-4.651 -1.358 4.776
-4.045 0.880 5.532
-5.497 4.341 6.724
-5.427 1.962 7.225
-2.641 -1.002 6.190
-2.594 -2.581 4.340
-5.450 2.762 4.875
-2.663 -0.202 3.839
-3.118 3.051 3.665
-4.973 -1.291 7.399
0.000 0.000 0.000
```

=====

[6]
Computed, not measured: a relaxed PaNi4Ir crystal at the GGA-PBE level of DFT.

The total energy is -7.324 eV per atom. The space group is No. 216. The calculation puts the density of states at the Fermi level at 7.78 states/eV per cell. The formation energy is -0.41 eV per atom. For the theoretical density, the calculation gives 13.29 g cm⁻³. As for the energy above the most stable polymorph in this dataset: 0.000 eV per atom.

POSCAR file:
```
PaNi4Ir
1.0
-0.399 -4.132 -2.566
3.606 -3.288 0.092
-0.635 -4.254 2.307
Ir Ni Pa
1 4 1
Cartesian
0.000 0.000 0.000
1.931 -5.162 -1.270
1.812 -5.224 1.192
-0.211 -5.650 -0.151
1.611 -7.312 -0.104
0.643 -2.919 -0.042
```

=====

[7]
Computed, not measured: a relaxed Pa3Ni8Ir crystal at the GGA-PBE level of DFT.

The total energy is -7.409 eV per atom. The space group is No. 160. The calculation puts the density of states at the Fermi level at 11.74 states/eV per cell. The formation energy is -0.44 eV per atom. For the theoretical density, the calculation gives 12.91 g cm⁻³.

POSCAR file:
```
Pa3Ni8Ir
1.0
4.936 0.000 0.000
2.468 4.275 0.000
2.468 1.425 8.257
Ni Pa Ir
8 3 1
Cartesian
7.404 2.854 5.661
6.174 4.986 5.661
7.404 4.275 7.715
4.936 4.290 1.539
6.183 2.130 1.539
3.689 2.130 1.539
8.635 4.986 5.661
2.468 1.425 3.620
4.936 2.850 7.144
4.936 2.850 3.904
7.404 4.275 0.295
7.404 4.275 3.198
```

=====

[8]
Computed, not measured: a relaxed PaNi2Ir crystal at the GGA-PBE level of DFT.

The total energy is -8.091 eV per atom. The space group is No. 123. The calculation puts the density of states at the Fermi level at 0.78 states/eV per cell. The formation energy is -0.61 eV per atom. For the theoretical density, the calculation gives 14.50 g cm⁻³. As for the energy above the most stable polymorph in this dataset: 0.000 eV per atom.

POSCAR file:
```
PaNi2Ir
1.0
-2.350 -1.707 2.704
2.145 -3.308 -0.224
2.351 1.329 2.882
Ni Pa Ir
2 1 1
Cartesian
1.073 -1.654 -0.112
1.175 0.665 1.441
1.073 -1.843 2.681
-1.175 -0.853 1.352
```

=====

[9]
Computed, not measured: a relaxed Pa2NiIr3 crystal at the GGA-PBE level of DFT.

The total energy is -9.245 eV per atom. The space group is No. 194. The calculation puts the density of states at the Fermi level at 15.76 states/eV per cell. The formation energy is -0.69 eV per atom. For the theoretical density, the calculation gives 17.34 g cm⁻³.

POSCAR file:
```
Pa2NiIr3
1.0
-4.277 -3.302 -0.625
5.045 -2.029 -0.133
-0.266 -1.191 8.110
Ir Pa Ni
6 4 2
Cartesian
3.434 -2.538 1.813
1.283 -4.199 1.499
-0.781 -2.324 5.853
-2.932 -3.985 5.539
-0.394 -5.005 5.472
0.897 -1.517 1.880
1.689 -3.569 7.298
-1.186 -2.954 0.054
-1.286 -3.398 3.079
1.788 -3.125 4.273
0.000 0.000 0.000
-0.133 -0.596 4.055
```

=====

[10]
Computed, not measured: a relaxed Pa2Ni15Ir2 crystal at the GGA-PBE level of DFT.

The total energy is -6.749 eV per atom. The space group is No. 166. The calculation puts the density of states at the Fermi level at 26.59 states/eV per cell. The formation energy is -0.25 eV per atom. For the theoretical density, the calculation gives 11.72 g cm⁻³.

POSCAR file:
```
Pa2Ni15Ir2
1.0
6.250 -0.006 0.811
0.711 6.209 0.811
-0.007 -0.006 6.302
Ni Ir Pa
15 2 2
Cartesian
2.785 5.206 3.173
4.520 4.027 2.066
3.125 -0.003 0.405
4.169 0.990 4.750
5.491 2.169 3.173
0.209 1.859 4.654
0.356 3.104 0.405
4.587 1.859 0.811
-0.004 -0.003 3.151
2.374 4.344 0.811
1.462 4.027 4.750
2.434 2.169 5.857
0.496 4.344 2.459
1.871 -0.006 4.654
4.372 -0.006 2.459
0.746 0.665 0.850
6.207 5.531 7.073
4.616 4.113 5.259
2.338 2.083 2.664
```

=====

[11]
Computed, not measured: a relaxed PaNi2Ir crystal at the GGA-PBE level of DFT.

The total energy is -7.903 eV per atom. The space group is No. 225. The calculation puts the density of states at the Fermi level at 1.59 states/eV per cell. The formation energy is -0.42 eV per atom. For the theoretical density, the calculation gives 14.52 g cm⁻³. As for the energy above the most stable polymorph in this dataset: 0.189 eV per atom.

POSCAR file:
```
PaNi2Ir
1.0
-0.241 -1.807 4.047
1.207 -4.226 0.619
3.718 -0.941 2.235
Ni Pa Ir
2 1 1
Cartesian
3.513 -5.231 5.176
1.171 -1.744 1.725
0.000 0.000 0.000
2.342 -3.487 3.451
```

=====

[12]
Computed, not measured: a relaxed PaNiIr2 crystal at the GGA-PBE level of DFT.

The total energy is -8.985 eV per atom. The space group is No. 123. The calculation puts the density of states at the Fermi level at 3.64 states/eV per cell. The formation energy is -0.73 eV per atom. For the theoretical density, the calculation gives 17.12 g cm⁻³. As for the energy above the most stable polymorph in this dataset: 0.000 eV per atom.

POSCAR file:
```
PaNiIr2
1.0
-3.272 -1.260 -1.857
2.167 -2.883 -1.862
-0.758 -2.550 3.066
Ir Ni Pa
2 1 1
Cartesian
-0.379 -1.275 1.533
1.084 -1.441 -0.931
-1.636 -0.630 -0.929
-0.932 -3.347 -0.327
```

=====

- Which value of theoretical density does entry 3 give?
  7.46 g cm⁻³